Density functional theory data (PBE-GGA) for crystalline DyAl3Au2 at its relaxed geometry.

Values from the calculation:
Symmetry = C2/m
Total energy = -0.31994 Ry/atom
Total magnetization = 0.00 μB/cell
Volume = 19.24 Å³ per atom

Lattice parameters (Å, degrees): 8.679 8.679 10.145 104.88 104.88 28.03
Sites, in units of the cell vectors:
1 Dy 0.000 0.000 0.000
2 Dy 0.158 0.158 0.706
3 Dy 0.842 0.842 0.294
4 Al 0.042 0.042 0.358
5 Al 0.213 0.213 0.380
6 Al 0.332 0.332 0.041
7 Al 0.374 0.374 0.803
8 Al 0.500 0.500 0.500
9 Al 0.626 0.626 0.197
10 Al 0.668 0.668 0.959
11 Al 0.787 0.787 0.620
12 Al 0.958 0.958 0.642
13 Au 0.198 0.198 0.119
14 Au 0.355 0.355 0.537
15 Au 0.473 0.473 0.217
16 Au 0.527 0.527 0.783
17 Au 0.645 0.645 0.463
18 Au 0.802 0.802 0.881


Density functional theory data (PBE-GGA) for crystalline Pm12In3Bi at its relaxed geometry.

Values from the calculation:
Symmetry = P4/mmm
Total energy = -0.34064 Ry/atom
Total magnetization = 0.00 μB/cell
Volume = 30.47 Å³ per atom

Lattice parameters (Å, degrees): 4.965 4.965 19.777 90.00 90.00 90.00
Sites, in units of the cell vectors:
1 Pm 0.000 0.000 0.000
2 Pm 0.000 0.000 0.249
3 Pm 0.000 0.000 0.500
4 Pm 0.000 0.000 0.751
5 Pm 0.000 0.500 0.125
6 Pm 0.000 0.500 0.374
7 Pm 0.000 0.500 0.626
8 Pm 0.000 0.500 0.875
9 Pm 0.500 0.000 0.125
10 Pm 0.500 0.000 0.374
11 Pm 0.500 0.000 0.626
12 Pm 0.500 0.000 0.875
13 In 0.500 0.500 0.251
14 In 0.500 0.500 0.500
15 In 0.500 0.500 0.749
16 Bi 0.500 0.500 0.000


Density functional theory data (PBE-GGA) for crystalline Tl7VSe6 at its relaxed geometry.

Values from the calculation:
E_form (uncorrected) = -0.436 eV per atom
Symmetry = Ibam
Total magnetization = 0.00 μB/cell
Volume = 35.08 Å³ per atom

Lattice parameters (Å, degrees): 11.979 11.979 11.979 141.93 106.45 85.96
Sites, in units of the cell vectors:
1 Tl 0.021 0.251 0.271
2 Tl 0.095 0.566 0.896
3 Tl 0.170 0.066 0.472
4 Tl 0.250 0.250 0.000
5 Tl 0.330 0.801 0.896
6 Tl 0.405 0.301 0.472
7 Tl 0.479 0.751 0.230
8 Tl 0.521 0.249 0.770
9 Tl 0.595 0.699 0.528
10 Tl 0.670 0.199 0.104
11 Tl 0.750 0.750 0.000
12 Tl 0.830 0.934 0.528
13 Tl 0.905 0.434 0.104
14 Tl 0.979 0.749 0.729
15 V 0.250 0.750 0.500
16 V 0.750 0.250 0.500
17 Se 0.086 0.854 0.588
18 Se 0.168 0.977 0.145
19 Se 0.234 0.646 0.232
20 Se 0.266 0.498 0.412
21 Se 0.332 0.477 0.810
22 Se 0.414 0.002 0.768
23 Se 0.586 0.998 0.232
24 Se 0.668 0.523 0.190
25 Se 0.734 0.502 0.588
26 Se 0.766 0.354 0.768
27 Se 0.832 0.023 0.855
28 Se 0.914 0.146 0.412